## YBeTl (PBE)

Data for crystalline YBeTl at its relaxed geometry.

Cell and atoms, written as POSCAR:
```
YBeTl
1.0
-1.782 2.260 4.323
1.782 -2.260 4.323
1.782 2.260 -4.323
Y Be Tl
1 1 1
Cartesian
0.000 0.000 0.000
0.000 0.000 5.587
0.000 0.000 2.936
```

Results
- Space group: Imm2 (44)
- E above lowest polymorph: 0.4429 eV/atom
- Formation enthalpy at 0 K: 324 meV per atom

## Na3TlTe (PBE)

Data for crystalline Na3TlTe at its relaxed geometry.

Cell and atoms, written as POSCAR:
```
Na3TlTe
1.0
5.902 0.000 0.000
0.000 5.902 0.000
0.000 0.000 5.902
Na Tl Te
3 1 1
Cartesian
0.000 0.000 2.951
0.000 2.951 0.000
2.951 0.000 0.000
2.951 2.951 2.951
0.000 0.000 0.000
```

Results
- Energy relative to the elements, uncorrected: -284 meV/atom
- Space group: Pm-3m (221)
- E above lowest polymorph: 0.0000 eV/atom

## Ba6I3N2O (PBE)

Data for crystalline Ba6I3N2O at its relaxed geometry.

Cell and atoms, written as POSCAR:
```
Ba6I3N2O
1.0
3.651 -6.324 0.000
3.651 6.324 0.000
-2.434 0.000 8.323
Ba I N O
6 3 2 1
Cartesian
-0.009 2.122 6.848
1.199 0.000 1.478
-0.009 -2.122 6.848
4.877 2.122 1.475
3.669 0.000 6.844
4.877 -2.122 1.475
-1.217 0.000 4.161
2.434 2.116 4.161
2.434 -2.116 4.161
3.651 4.219 0.000
3.651 -4.219 0.000
3.651 0.000 0.000
```

Results
- Energy relative to the elements, uncorrected: -1291 meV/atom
- Space group: C2/m (12)

## Tb2Er2Pb2S (PBE)

Data for crystalline Tb2Er2Pb2S at its relaxed geometry.

Cell and atoms, written as POSCAR:
```
Tb2Er2Pb2S
1.0
-2.545 2.545 8.019
2.545 -2.545 8.019
2.545 2.545 -8.019
Tb Er Pb S
2 2 2 1
Cartesian
2.545 0.000 0.000
0.000 2.545 0.000
0.000 0.000 2.673
0.000 0.000 13.366
0.000 0.000 5.778
0.000 0.000 10.261
0.000 0.000 0.000
```

Results
- Energy relative to the elements, uncorrected: -727 meV/atom
- Space group: I4/mmm (139)

## NiPb2Au (PBE)

Data for crystalline NiPb2Au at its relaxed geometry.

Cell and atoms, written as POSCAR:
```
NiPb2Au
1.0
3.512 -3.541 0.000
3.512 3.541 0.000
-0.032 0.000 3.551
Ni Pb Au
1 2 1
Cartesian
0.000 0.000 0.000
1.740 1.770 1.775
1.740 -1.770 1.775
3.512 0.000 0.000
```

Results
- Space group: C2/m (12)
- E above lowest polymorph: 0.1608 eV/atom
- Formation enthalpy at 0 K: 219 meV per atom

## ZnCrCd (PBE)

Data for crystalline ZnCrCd at its relaxed geometry.

Cell and atoms, written as POSCAR:
```
ZnCrCd
1.0
2.793 0.000 0.000
-1.396 2.419 0.000
0.000 0.000 7.000
Zn Cr Cd
1 1 1
Cartesian
0.000 0.000 0.000
0.000 1.613 4.936
1.396 0.806 2.567
```

Results
- Space group: P3m1 (156)
- E above lowest polymorph: 0.1643 eV/atom
- Formation enthalpy at 0 K: 456 meV per atom

## NbRuNO2 (PBE)

Data for crystalline NbRuNO2 at its relaxed geometry.

Cell and atoms, written as POSCAR:
```
NbRuNO2
1.0
3.968 0.000 0.000
0.000 3.968 0.000
0.000 0.000 4.158
Nb Ru N O
1 1 1 2
Cartesian
0.000 0.000 0.000
1.984 1.984 2.079
0.000 0.000 2.079
0.000 1.984 0.000
1.984 0.000 0.000
```

Results
- Energy relative to the elements, uncorrected: -383 meV/atom
- Space group: P4/mmm (123)

## TcOs2Cl (PBE)

Data for crystalline TcOs2Cl at its relaxed geometry.

Cell and atoms, written as POSCAR:
```
TcOs2Cl
1.0
2.793 0.000 0.000
0.000 3.646 0.000
0.000 0.000 6.538
Tc Os Cl
1 2 1
Cartesian
0.000 0.000 0.000
0.000 0.000 2.607
1.397 1.823 1.375
0.000 1.823 4.676
```

Results
- Energy relative to the elements, uncorrected: 595 meV/atom
- Space group: Pmm2 (25)
- E above lowest polymorph: 0.1515 eV/atom

Number 1: calculated total energy -3.862 eV/atom. Number 2: calculated total energy -2.177 eV/atom. Number 3: calculated total energy -4.440 eV/atom. Number 4: calculated total energy -5.003 eV/atom. Number 5: calculated total energy -3.900 eV/atom. Number 6: calculated total energy -3.482 eV/atom. Number 7: calculated total energy -7.900 eV/atom. Number 8: calculated total energy -8.073 eV/atom.